This record from Alexandria via LeMat-Bulk describes a relaxed structure of VNi2F. The functional is GGA+U.

Results
- symmetry = I-42d
- energy above the most stable polymorph in this dataset (meV per atom) = 0.0
- total energy (eV per cell) = -27.172

Cell and atoms, written as CIF:
```
data_VNi2F
_chemical_formula_sum 'V2 Ni4 F2'
_cell_length_a 7.236
_cell_length_b 7.236
_cell_length_c 5.577
_cell_angle_alpha 49.56
_cell_angle_beta 49.56
_cell_angle_gamma 90.00
_space_group_name_H-M_alt 'P 1'
_space_group_IT_number 1
loop_
_space_group_symop_operation_xyz
'x,y,z'
loop_
_atom_site_label
_atom_site_type_symbol
_atom_site_fract_x
_atom_site_fract_y
_atom_site_fract_z
F1 F 0.250 0.750 0.500
Ni1 Ni 0.875 0.812 0.750
Ni2 Ni 0.562 0.125 0.250
V1 V 0.750 0.250 0.500
F2 F 0.500 0.500 0.000
Ni3 Ni 0.188 0.625 0.250
V2 V 0.000 0.000 0.000
Ni4 Ni 0.375 0.438 0.750
```